# PBE AgAs2BrF, optimized geometry
# Calculated volume in A^3/atom: 26.25
# Magnetization in μB/f.u.: 0.002
# Formation energy (no corrections) in kJ/mol of atoms: 53.61
# DFT total energy in eV per atom: -2.58
data_AgAs2BrF
_cell_length_a 5.006
_cell_length_b 5.006
_cell_length_c 5.236
_cell_angle_alpha 90.00
_cell_angle_beta 90.00
_cell_angle_gamma 90.00
_space_group_name_H-M_alt 'P 1'
_space_group_IT_number 1
loop_
_space_group_symop_operation_xyz
'x,y,z'
loop_
_atom_site_label
_atom_site_type_symbol
_atom_site_fract_x
_atom_site_fract_y
_atom_site_fract_z
Ag1 Ag 0.000 0.000 0.000
As1 As 0.000 0.500 0.000
As2 As 0.500 0.000 0.000
Br1 Br 0.000 0.000 0.500
F1 F 0.500 0.500 0.500

# PBE YTaNF2, optimized geometry
# Calculated volume in A^3/atom: 17.15
# Magnetization in μB/f.u.: 2.961
# Formation energy (no corrections) in kJ/mol of atoms: -89.86
# DFT total energy in eV per atom: -7.01
data_YTaNF2
_cell_length_a 4.143
_cell_length_b 4.143
_cell_length_c 4.995
_cell_angle_alpha 90.00
_cell_angle_beta 90.00
_cell_angle_gamma 90.00
_space_group_name_H-M_alt 'P 1'
_space_group_IT_number 1
loop_
_space_group_symop_operation_xyz
'x,y,z'
loop_
_atom_site_label
_atom_site_type_symbol
_atom_site_fract_x
_atom_site_fract_y
_atom_site_fract_z
Y1 Y 0.000 0.000 0.000
Ta1 Ta 0.500 0.500 0.500
N1 N 0.000 0.000 0.500
F1 F 0.000 0.500 0.000
F2 F 0.500 0.000 0.000

> Among the records above, which one has the highest formation energy (no corrections)?

AgAs2BrF

> Number 1 is which compound?

AgAs2BrF

> What is the calculated volume in the first record?

26.25 A^3/atom

> Look up the formation energy (no corrections) of the second one.

-89.86 kJ/mol of atoms